[1]
Here is H2RhW after structural relaxation from Alexandria. Energies are from PBE-GGA.

Lattice parameters (Å, degrees): 3.747 3.747 3.747 60.00 60.00 60.00
Positions (direct):
H (0.250, 0.250, 0.250)
H (0.750, 0.750, 0.750)
Rh (0.000, 0.000, 0.000)
W (0.500, 0.500, 0.500)

VASP energy = -6.001 eV/atom
crystal system = cubic

[2]
Here is H2RhW after structural relaxation from Alexandria. Energies are from PBE-GGA.

Lattice parameters (Å, degrees): 4.238 4.238 5.080 65.35 65.35 90.00
Positions (direct):
H (0.609, 0.125, 0.250)
H (0.141, 0.625, 0.250)
H (0.375, 0.391, 0.750)
H (0.875, 0.859, 0.750)
Rh (0.500, 0.500, 0.000)
Rh (0.250, 0.750, 0.500)
W (0.000, 0.000, 0.000)
W (0.750, 0.250, 0.500)

VASP energy = -6.598 eV/atom
crystal system = tetragonal